Model 1:
Material: CaReSb
Method: DFT, GGA-PBE
State: optimized geometry

```
data_CaReSb
_cell_length_a 6.039
_cell_length_b 6.039
_cell_length_c 6.039
_cell_angle_alpha 146.61
_cell_angle_beta 146.61
_cell_angle_gamma 47.95
_space_group_name_H-M_alt 'P 1'
_space_group_IT_number 1
loop_
_space_group_symop_operation_xyz
'x,y,z'
loop_
_atom_site_label
_atom_site_fract_x
_atom_site_fract_y
_atom_site_fract_z
Ca1 0.000 0.000 0.000
Re1 0.314 0.314 0.000
Sb1 0.707 0.707 0.000
```

Calculated values
Volume, Å³ per cell: 66.44

***

Model 2:
Material: CaReSb
Method: DFT, GGA-PBE
State: optimized geometry

```
data_CaReSb
_cell_length_a 4.848
_cell_length_b 4.848
_cell_length_c 4.848
_cell_angle_alpha 60.00
_cell_angle_beta 60.00
_cell_angle_gamma 60.00
_space_group_name_H-M_alt 'P 1'
_space_group_IT_number 1
loop_
_space_group_symop_operation_xyz
'x,y,z'
loop_
_atom_site_label
_atom_site_fract_x
_atom_site_fract_y
_atom_site_fract_z
Ca1 0.000 0.000 0.000
Re1 0.750 0.750 0.750
Sb1 0.250 0.250 0.250
```

Calculated values
Volume, Å³ per cell: 80.59

***

Which structure is the most stable? The one labeled model 1.

***

Model 1:
Material: CaReSb
Method: DFT, GGA-PBE
State: optimized geometry

```
data_CaReSb
_cell_length_a 4.656
_cell_length_b 4.656
_cell_length_c 4.656
_cell_angle_alpha 60.00
_cell_angle_beta 60.00
_cell_angle_gamma 60.00
_space_group_name_H-M_alt 'P 1'
_space_group_IT_number 1
loop_
_space_group_symop_operation_xyz
'x,y,z'
loop_
_atom_site_label
_atom_site_fract_x
_atom_site_fract_y
_atom_site_fract_z
Ca1 0.000 0.000 0.000
Re1 0.750 0.750 0.750
Sb1 0.500 0.500 0.500
```

Calculated values
Volume, Å³ per cell: 71.37

***

Model 2:
Material: CaReSb
Method: DFT, GGA-PBE
State: optimized geometry

```
data_CaReSb
_cell_length_a 3.399
_cell_length_b 3.399
_cell_length_c 6.892
_cell_angle_alpha 90.00
_cell_angle_beta 90.00
_cell_angle_gamma 120.00
_space_group_name_H-M_alt 'P 1'
_space_group_IT_number 1
loop_
_space_group_symop_operation_xyz
'x,y,z'
loop_
_atom_site_label
_atom_site_fract_x
_atom_site_fract_y
_atom_site_fract_z
Ca1 0.000 0.000 0.000
Re1 0.333 0.667 0.340
Sb1 0.667 0.333 0.605
```

Calculated values
Volume, Å³ per cell: 68.98

***

Model 3:
Material: CaReSb
Method: DFT, GGA-PBE
State: optimized geometry

```
data_CaReSb
_cell_length_a 4.577
_cell_length_b 4.577
_cell_length_c 3.861
_cell_angle_alpha 90.00
_cell_angle_beta 90.00
_cell_angle_gamma 120.00
_space_group_name_H-M_alt 'P 1'
_space_group_IT_number 1
loop_
_space_group_symop_operation_xyz
'x,y,z'
loop_
_atom_site_label
_atom_site_fract_x
_atom_site_fract_y
_atom_site_fract_z
Ca1 0.000 0.000 0.000
Re1 0.667 0.333 0.500
Sb1 0.333 0.667 0.500
```

Calculated values
Volume, Å³ per cell: 70.04

***

Which structure is the most stable? The one labeled model 3.

***

Model 1:
Material: Ca3ReSb
Method: DFT, GGA-PBE
State: optimized geometry

```
data_Ca3ReSb
_cell_length_a 5.412
_cell_length_b 5.412
_cell_length_c 5.412
_cell_angle_alpha 90.00
_cell_angle_beta 90.00
_cell_angle_gamma 90.00
_space_group_name_H-M_alt 'P 1'
_space_group_IT_number 1
loop_
_space_group_symop_operation_xyz
'x,y,z'
loop_
_atom_site_label
_atom_site_fract_x
_atom_site_fract_y
_atom_site_fract_z
Ca1 0.000 0.000 0.500
Ca2 0.000 0.500 0.000
Ca3 0.500 0.000 0.000
Re1 0.000 0.000 0.000
Sb1 0.500 0.500 0.500
```

Calculated values
Volume, Å³ per cell: 158.55

***

Model 2:
Material: Ca3ReSb
Method: DFT, GGA-PBE
State: optimized geometry

```
data_Ca3ReSb
_cell_length_a 5.815
_cell_length_b 5.815
_cell_length_c 5.815
_cell_angle_alpha 90.00
_cell_angle_beta 90.00
_cell_angle_gamma 90.00
_space_group_name_H-M_alt 'P 1'
_space_group_IT_number 1
loop_
_space_group_symop_operation_xyz
'x,y,z'
loop_
_atom_site_label
_atom_site_fract_x
_atom_site_fract_y
_atom_site_fract_z
Ca1 0.000 0.000 0.500
Ca2 0.000 0.500 0.000
Ca3 0.500 0.000 0.000
Re1 0.500 0.500 0.500
Sb1 0.000 0.000 0.000
```

Calculated values
Volume, Å³ per cell: 196.58

***

Which structure is the most stable? The one labeled model 1.